# CsK7

Crystalline CsK7 at its relaxed geometry (PBE, Alexandria).

Properties
- Density: 1.1 Mg/m³
- Fermi-level density of states: 0.9894 states/eV/atom
- Total magnetization: 0.0 μB per cell
- Electronic total energy: -33.82 eV for the cell shown

Unit cell a=13.4882 b=13.4882 c=13.4882 alpha=90.00 beta=90.00 gamma=90.00
Space group Fm-3m (No. 225)
Unique sites:
Cs: 0.0000 0.0000 0.0000 x4
K: 0.0000 0.0000 0.5000 x4
K: 0.0000 0.2500 0.2500 x24